A plane-wave DFT calculation with PBE was carried out for a geometry-optimized Rb2Ge2Au5 structure.

Results
Calculated density: 8.276 Mg/m³
DFT formation energy: -0.18 eV per atom

Unit cell a=13.5004 b=4.7687 c=8.3159 alpha=90.00 beta=102.79 gamma=90.00
Closest atoms and distances in Å follow each position.
Space group C2/m (No. 12)
One atom of each set of equivalent atoms:
Rb (0.1187, 0.0000, 0.3136) x4  11 Au 3.63-4.01, 1 Ge 3.85
Ge (0.1729, 0.5000, 0.9355) x4  5 Au 2.51-2.64
Au (0.0000, 0.5000, 0.0000) x2  2 Ge 2.51
Au (0.0788, 0.5000, 0.6291) x4  1 Ge 2.58, 1 Au 2.67
Au (0.1732, 0.0000, 0.8050) x4  3 Ge 2.62-2.64

=====

A plane-wave DFT calculation with PBE was carried out for a geometry-optimized RbGe4Au2 structure.

Results
Calculated density: 7.736 Mg/m³
DFT formation energy: -0.03 eV per atom

Unit cell a=8.5883 b=8.5883 c=4.4815 alpha=90.00 beta=90.00 gamma=90.00
Closest atoms and distances in Å follow each position.
Space group P4_2/mnm (No. 136)
One atom of each set of equivalent atoms:
Rb (0.0000, 0.0000, 0.0000) x2  6 Au 3.43-3.46, 8 Ge 3.81
Ge (0.0577, 0.3534, 0.5000) x8  1 Au 2.64, 5 Ge 2.71-2.95
Au (0.2173, 0.7827, 0.5000) x4  2 Ge 2.64

=====

Please write out number 2 again, unchanged.
A plane-wave DFT calculation with PBE was carried out for a geometry-optimized RbGe4Au2 structure.

Results
Calculated density: 7.736 Mg/m³
DFT formation energy: -0.03 eV per atom

Unit cell a=8.5883 b=8.5883 c=4.4815 alpha=90.00 beta=90.00 gamma=90.00
Closest atoms and distances in Å follow each position.
Space group P4_2/mnm (No. 136)
One atom of each set of equivalent atoms:
Rb (0.0000, 0.0000, 0.0000) x2  6 Au 3.43-3.46, 8 Ge 3.81
Ge (0.0577, 0.3534, 0.5000) x8  1 Au 2.64, 5 Ge 2.71-2.95
Au (0.2173, 0.7827, 0.5000) x4  2 Ge 2.64

=====

Repeat the first record exactly.
A plane-wave DFT calculation with PBE was carried out for a geometry-optimized Rb2Ge2Au5 structure.

Results
Calculated density: 8.276 Mg/m³
DFT formation energy: -0.18 eV per atom

Unit cell a=13.5004 b=4.7687 c=8.3159 alpha=90.00 beta=102.79 gamma=90.00
Closest atoms and distances in Å follow each position.
Space group C2/m (No. 12)
One atom of each set of equivalent atoms:
Rb (0.1187, 0.0000, 0.3136) x4  11 Au 3.63-4.01, 1 Ge 3.85
Ge (0.1729, 0.5000, 0.9355) x4  5 Au 2.51-2.64
Au (0.0000, 0.5000, 0.0000) x2  2 Ge 2.51
Au (0.0788, 0.5000, 0.6291) x4  1 Ge 2.58, 1 Au 2.67
Au (0.1732, 0.0000, 0.8050) x4  3 Ge 2.62-2.64

=====

calculated density of number 2 (RbGe4Au2)? 7.736 Mg/m³

=====

What is the calculated density in the second record? 7.736 Mg/m³